Ca3AgW: relaxed, PBE-GGA.

Calculated values
D(E_F) in states/eV per cell: 2.622
Calculated total energy in eV per atom: -3.327
Energy relative to the elements in eV/atom: 1.04
Energy above the most stable polymorph in this dataset in meV/atom: 23
V in Å³ per cell: 174

Cell: 5.5825 5.5825 5.5825 Å, 90.00 90.00 90.00°
With the nearest neighbours (Å) after each atom.
Element x y z (fractional)
Ca  0.0000  0.0000  0.5000  2 Ag 2.79
Ca  0.0000  0.5000  0.0000  2 Ag 2.79
Ca  0.5000  0.0000  0.0000  2 Ag 2.79
Ag  0.0000  0.0000  0.0000  6 Ca 2.79
W  0.5000  0.5000  0.5000  12 Ca 3.95



YSc2UO8: relaxed, PBE-GGA.

Calculated values
D(E_F) in states/eV per cell: 8.869
ΔE_f (raw) in eV per atom: -3.156
Calculated total energy in eV per atom: -8.996
V in Å³ per cell: 166

Cell: 4.9318 4.9318 6.8077 Å, 90.00 90.00 90.04°
With the nearest neighbours (Å) after each atom.
Element x y z (fractional)
Y  0.0000  0.0000  0.0000  6 O 2.22-2.29
Sc  0.5000  0.5000  0.2424  6 O 2.08-2.24
Sc  0.5000  0.5000  0.7576  6 O 2.08-2.24
U  0.0000  0.0000  0.5000  6 O 2.08-2.09
O  0.1962  0.8038  0.2698  1 U 2.08, 1 Sc 2.13, 1 Y 2.29
O  0.1962  0.8038  0.7302  1 U 2.08, 1 Sc 2.13, 1 Y 2.29
O  0.3004  0.3004  0.5000  1 U 2.09, 2 Sc 2.24
O  0.3190  0.3190  0.0000  2 Sc 2.08, 1 Y 2.22
O  0.6810  0.6810  0.0000  2 Sc 2.08, 1 Y 2.22
O  0.6996  0.6996  0.5000  1 U 2.09, 2 Sc 2.24
O  0.8038  0.1962  0.2698  1 U 2.08, 1 Sc 2.13, 1 Y 2.29
O  0.8038  0.1962  0.7302  1 U 2.08, 1 Sc 2.13, 1 Y 2.29



Al2TcOs: relaxed, PBE-GGA.

Calculated values
D(E_F) in states/eV per cell: 16.549
Calculated total energy in eV per atom: -7.607
Energy relative to the elements in eV/atom: -0.34
Energy above the most stable polymorph in this dataset in meV/atom: 0
V in Å³ per cell: 223

Cell: 6.0624 6.0624 6.0624 Å, 90.00 90.00 90.00°
With the nearest neighbours (Å) after each atom.
Element x y z (fractional)
Al  0.2500  0.2500  0.2500  4 Tc 2.63, 4 Os 2.63
Al  0.2500  0.2500  0.7500  4 Tc 2.63, 4 Os 2.63
Al  0.2500  0.7500  0.2500  4 Tc 2.63, 4 Os 2.63
Al  0.2500  0.7500  0.7500  4 Tc 2.63, 4 Os 2.63
Al  0.7500  0.2500  0.2500  4 Tc 2.63, 4 Os 2.63
Al  0.7500  0.2500  0.7500  4 Tc 2.63, 4 Os 2.63
Al  0.7500  0.7500  0.2500  4 Tc 2.63, 4 Os 2.63
Al  0.7500  0.7500  0.7500  4 Tc 2.63, 4 Os 2.63
Tc  0.0000  0.0000  0.0000  8 Al 2.63
Tc  0.0000  0.5000  0.5000  8 Al 2.63
Tc  0.5000  0.0000  0.5000  8 Al 2.63
Tc  0.5000  0.5000  0.0000  8 Al 2.63
Os  0.0000  0.0000  0.5000  8 Al 2.63
Os  0.0000  0.5000  0.0000  8 Al 2.63
Os  0.5000  0.0000  0.0000  8 Al 2.63
Os  0.5000  0.5000  0.5000  8 Al 2.63



Ba3CaTi3O8: relaxed, PBE-GGA.

Calculated values
D(E_F) in states/eV per cell: 3.501
ΔE_f (raw) in eV per atom: -2.664
Calculated total energy in eV per atom: -7.405
Energy above the most stable polymorph in this dataset in meV/atom: 0
V in Å³ per cell: 246

Cell: 5.8711 5.8711 8.7150 Å, 105.78 105.78 59.71°
With the nearest neighbours (Å) after each atom.
Element x y z (fractional)
Ba  0.0000  0.0000  0.0000  9 O 2.75-3.03
Ba  0.3993  0.3993  0.2391  7 O 2.72-2.95
Ba  0.5959  0.5959  0.7284  7 O 2.62-2.94
Ca  0.1672  0.1672  0.4590  5 O 2.30-2.48
Ti  0.2893  0.2893  0.8447  6 O 1.99-2.21
Ti  0.6843  0.6843  0.1313  3 O 1.86-1.98
Ti  0.8910  0.8910  0.5881  3 O 1.85-1.87
O  0.0017  0.5060  0.9798  2 Ti 1.99-2.22
O  0.0782  0.5646  0.6653  1 Ti 1.87
O  0.0795  0.0795  0.6944  1 Ti 1.85
O  0.4148  0.8971  0.2564  1 Ti 1.86
O  0.4967  0.4967  0.9722  2 Ti 1.98-2.05
O  0.5060  0.0017  0.9798  2 Ti 1.99-2.22
O  0.5646  0.0782  0.6653  1 Ti 1.87
O  0.8971  0.4148  0.2564  1 Ti 1.86



LiMnB14: relaxed, PBE-GGA.

Calculated values
D(E_F) in states/eV per cell: 5.741
Calculated total energy in eV per atom: -6.646
Energy relative to the elements in eV/atom: -0.11
V in Å³ per cell: 245

Cell: 7.1806 7.1806 7.1806 Å, 131.96 88.66 110.78°
With the nearest neighbours (Å) after each atom.
Element x y z (fractional)
Li  0.4124  0.1624  0.2500  8 B 2.46-2.60
Li  0.5876  0.8376  0.7500  8 B 2.46-2.60
Mn  0.0000  0.0000  0.5000  8 B 2.10-2.30
Mn  0.0000  0.5000  0.0000  8 B 2.10-2.30
B  0.0382  0.8870  0.1512  3 B 1.74-1.90
B  0.0388  0.2099  0.3340  6 B 1.74-1.84
B  0.0388  0.7048  0.8289  6 B 1.74-1.84
B  0.0777  0.6677  0.4100  6 B 1.77-1.90
B  0.2035  0.5368  0.6667  6 B 1.71-1.84
B  0.2258  0.5071  0.4017  6 B 1.74-1.85
B  0.2258  0.8240  0.7186  6 B 1.74-1.85
B  0.2358  0.8870  0.3488  3 B 1.74-1.90
B  0.2423  0.3323  0.9100  6 B 1.77-1.90
B  0.3701  0.5368  0.8333  6 B 1.71-1.84
B  0.3759  0.2099  0.6711  6 B 1.74-1.84
B  0.3759  0.7048  0.1660  6 B 1.74-1.84
B  0.3946  0.1760  0.9017  6 B 1.74-1.85
B  0.3946  0.4929  0.2186  6 B 1.74-1.85
B  0.6054  0.5071  0.7814  6 B 1.74-1.85
B  0.6054  0.8240  0.0983  6 B 1.74-1.85
B  0.6241  0.2952  0.8340  6 B 1.74-1.84
B  0.6241  0.7901  0.3289  6 B 1.74-1.84
B  0.6299  0.4632  0.1667  6 B 1.71-1.84
B  0.7577  0.6677  0.0900  6 B 1.77-1.90
B  0.7642  0.1130  0.6512  3 B 1.74-1.90
B  0.7742  0.1760  0.2814  6 B 1.74-1.85
B  0.7742  0.4929  0.5983  6 B 1.74-1.85
B  0.7965  0.4632  0.3333  6 B 1.71-1.84
B  0.9223  0.3323  0.5900  6 B 1.77-1.90
B  0.9612  0.2952  0.1711  6 B 1.74-1.84
B  0.9612  0.7901  0.6660  6 B 1.74-1.84
B  0.9618  0.1130  0.8488  3 B 1.74-1.90



V3Co5B2: relaxed, PBE-GGA.

Calculated values
D(E_F) in states/eV per cell: 20.961
Calculated total energy in eV per atom: -7.929
Energy relative to the elements in eV/atom: -0.31
V in Å³ per cell: 204

Cell: 8.1059 8.1059 3.1049 Å, 90.00 90.00 90.00°
With the nearest neighbours (Å) after each atom.
Element x y z (fractional)
V  0.0000  0.0000  0.0000  8 Co 2.39
V  0.1746  0.3254  0.0000  3 B 2.34-2.44, 6 Co 2.53-2.60
V  0.3254  0.8254  0.0000  3 B 2.34-2.44, 6 Co 2.53-2.60
V  0.5000  0.5000  0.0000  8 Co 2.39
V  0.6746  0.1746  0.0000  3 B 2.34-2.44, 6 Co 2.53-2.60
V  0.8254  0.6746  0.0000  3 B 2.34-2.44, 6 Co 2.53-2.60
Co  0.0000  0.5000  0.5000  4 B 2.08
Co  0.0704  0.7866  0.5000  2 B 2.09
Co  0.2134  0.0704  0.5000  2 B 2.09
Co  0.2866  0.5704  0.5000  2 B 2.09
Co  0.4296  0.2866  0.5000  2 B 2.09
Co  0.5000  0.0000  0.5000  4 B 2.08
Co  0.5704  0.7134  0.5000  2 B 2.09
Co  0.7134  0.4296  0.5000  2 B 2.09
Co  0.7866  0.9296  0.5000  2 B 2.09
Co  0.9296  0.2134  0.5000  2 B 2.09
B  0.1213  0.6213  0.0000  6 Co 2.08-2.09
B  0.3787  0.1213  0.0000  6 Co 2.08-2.09
B  0.6213  0.8787  0.0000  6 Co 2.08-2.09
B  0.8787  0.3787  0.0000  6 Co 2.08-2.09